VASP calculation (PBE-GGA) on a relaxed structure of Rb4BaU3S12.

Calculated values
SG: Im-3m, No. 229
Formation energy without anion corrections: -1.30 eV/atom
Magnetic moment: 0.31 μB/f.u.
Calculated density: 4.27 Mg/m³
Crystal system: cubic

Structure (CIF):
```
data_Rb4BaU3S12
_chemical_formula_sum 'Rb4 Ba1 U3 S12'
_symmetry_space_group_name_H-M 'P 1'
_symmetry_Int_Tables_number 1
_symmetry_space_group_name_Hall 'P 1'
_cell_length_a 9.274
_cell_length_b 9.274
_cell_length_c 9.274
_cell_angle_alpha 109.47
_cell_angle_beta 109.47
_cell_angle_gamma 109.47
loop_
_atom_site_label
_atom_site_type_symbol
_atom_site_fract_x
_atom_site_fract_y
_atom_site_fract_z
_atom_site_occupancy
Rb1 Rb 0.000 0.000 0.500 1
Rb2 Rb 0.000 0.500 0.000 1
Rb3 Rb 0.500 0.000 0.000 1
Rb4 Rb 0.500 0.500 0.500 1
Ba1 Ba 0.000 0.000 0.000 1
U1 U 0.000 0.500 0.500 1
U2 U 0.500 0.000 0.500 1
U3 U 0.500 0.500 0.000 1
S1 S 0.000 0.275 0.275 1
S2 S 0.000 0.725 0.725 1
S3 S 0.250 0.500 0.750 1
S4 S 0.250 0.750 0.500 1
S5 S 0.275 0.000 0.275 1
S6 S 0.275 0.275 0.000 1
S7 S 0.500 0.250 0.750 1
S8 S 0.500 0.750 0.250 1
S9 S 0.725 0.000 0.725 1
S10 S 0.725 0.725 0.000 1
S11 S 0.750 0.250 0.500 1
S12 S 0.750 0.500 0.250 1
```


VASP calculation (PBE-GGA) on a relaxed structure of K4AlTl4.

Calculated values
SG: I-42m, No. 121
ΔH_f (0 K): 0.7 eV per formula unit
Magnetic moment: 0.00 μB/f.u.
D(E_F): 0.73 states/eV/atom
Calculated density: 4.18 Mg/m³
Crystal system: tetragonal

Structure (CIF):
```
data_K4AlTl4
_chemical_formula_sum 'K4 Al1 Tl4'
_symmetry_space_group_name_H-M 'P 1'
_symmetry_Int_Tables_number 1
_symmetry_space_group_name_Hall 'P 1'
_cell_length_a 9.013
_cell_length_b 9.013
_cell_length_c 9.013
_cell_angle_alpha 131.90
_cell_angle_beta 131.90
_cell_angle_gamma 70.39
loop_
_atom_site_label
_atom_site_type_symbol
_atom_site_fract_x
_atom_site_fract_y
_atom_site_fract_z
_atom_site_occupancy
K1 K 0.066 0.659 0.000 1
K2 K 0.341 0.341 0.407 1
K3 K 0.659 0.066 0.000 1
K4 K 0.934 0.934 0.593 1
Al1 Al 0.500 0.500 0.000 1
Tl1 Tl 0.178 0.178 0.589 1
Tl2 Tl 0.411 0.822 0.000 1
Tl3 Tl 0.589 0.589 0.411 1
Tl4 Tl 0.822 0.411 0.000 1
```


VASP calculation (PBE-GGA) on a relaxed structure of Y2SiSn.

Calculated values
SG: R-3m, No. 166
Formation energy without anion corrections: -0.56 eV/atom
Magnetic moment: 0.00 μB/f.u.
Offset from the most stable computed form: 19.33 kJ per mole of atoms
D(E_F): 1.09 states/eV/atom
Calculated density: 4.95 Mg/m³
Crystal system: trigonal

Structure (CIF):
```
data_Y2SiSn
_chemical_formula_sum 'Y2 Si1 Sn1'
_symmetry_space_group_name_H-M 'P 1'
_symmetry_Int_Tables_number 1
_symmetry_space_group_name_Hall 'P 1'
_cell_length_a 8.424
_cell_length_b 8.424
_cell_length_c 8.424
_cell_angle_alpha 27.03
_cell_angle_beta 27.03
_cell_angle_gamma 27.03
loop_
_atom_site_label
_atom_site_type_symbol
_atom_site_fract_x
_atom_site_fract_y
_atom_site_fract_z
_atom_site_occupancy
Y1 Y 0.238 0.238 0.238 1
Y2 Y 0.762 0.762 0.762 1
Si1 Si 0.500 0.500 0.500 1
Sn1 Sn 0.000 0.000 0.000 1
```


VASP calculation (PBE-GGA) on a relaxed structure of KIn2Te.

Calculated values
SG: Cm, No. 8
Formation energy without anion corrections: -0.32 eV/atom
Magnetic moment: 0.00 μB/f.u.
D(E_F): 0.42 states/eV/atom
Calculated density: 4.49 Mg/m³
Crystal system: monoclinic

Structure (CIF):
```
data_KIn2Te
_chemical_formula_sum 'K1 In2 Te1'
_symmetry_space_group_name_H-M 'P 1'
_symmetry_Int_Tables_number 1
_symmetry_space_group_name_Hall 'P 1'
_cell_length_a 5.774
_cell_length_b 5.774
_cell_length_c 6.886
_cell_angle_alpha 109.08
_cell_angle_beta 109.08
_cell_angle_gamma 43.00
loop_
_atom_site_label
_atom_site_type_symbol
_atom_site_fract_x
_atom_site_fract_y
_atom_site_fract_z
_atom_site_occupancy
K1 K 0.000 0.000 0.000 1
In1 In 0.225 0.225 0.589 1
In2 In 0.492 0.492 0.542 1
Te1 Te 0.775 0.775 0.271 1
```


VASP calculation (PBE-GGA) on a relaxed structure of HfCrRh14.

Calculated values
SG: P4/mmm, No. 123
ΔH_f (0 K): -2.9 eV per formula unit
Magnetic moment: 1.50 μB/f.u.
D(E_F): 1.31 states/eV/atom
Calculated density: 12.03 Mg/m³
Crystal system: tetragonal

Structure (CIF):
```
data_HfCrRh14
_chemical_formula_sum 'Hf1 Cr1 Rh14'
_symmetry_space_group_name_H-M 'P 1'
_symmetry_Int_Tables_number 1
_symmetry_space_group_name_Hall 'P 1'
_cell_length_a 5.451
_cell_length_b 5.451
_cell_length_c 7.764
_cell_angle_alpha 90.00
_cell_angle_beta 90.00
_cell_angle_gamma 90.00
loop_
_atom_site_label
_atom_site_type_symbol
_atom_site_fract_x
_atom_site_fract_y
_atom_site_fract_z
_atom_site_occupancy
Hf1 Hf 0.000 0.000 0.000 1
Cr1 Cr 0.500 0.500 0.000 1
Rh1 Rh 0.000 0.000 0.500 1
Rh2 Rh 0.000 0.500 0.000 1
Rh3 Rh 0.000 0.500 0.500 1
Rh4 Rh 0.254 0.254 0.251 1
Rh5 Rh 0.254 0.254 0.749 1
Rh6 Rh 0.254 0.746 0.251 1
Rh7 Rh 0.254 0.746 0.749 1
Rh8 Rh 0.500 0.000 0.000 1
Rh9 Rh 0.500 0.000 0.500 1
Rh10 Rh 0.500 0.500 0.500 1
Rh11 Rh 0.746 0.254 0.251 1
Rh12 Rh 0.746 0.254 0.749 1
Rh13 Rh 0.746 0.746 0.251 1
Rh14 Rh 0.746 0.746 0.749 1
```


VASP calculation (PBE-GGA) on a relaxed structure of Ba2BiSe2O2.

Calculated values
SG: C2/m, No. 12
Formation energy without anion corrections: -1.66 eV/atom
Magnetic moment: 0.00 μB/f.u.
D(E_F): 0.61 states/eV/atom
Calculated density: 6.01 Mg/m³
Crystal system: monoclinic

Structure (CIF):
```
data_Ba2BiSe2O2
_chemical_formula_sum 'Ba2 Bi1 Se2 O2'
_symmetry_space_group_name_H-M 'P 1'
_symmetry_Int_Tables_number 1
_symmetry_space_group_name_Hall 'P 1'
_cell_length_a 6.969
_cell_length_b 6.969
_cell_length_c 7.735
_cell_angle_alpha 118.32
_cell_angle_beta 118.32
_cell_angle_gamma 34.80
loop_
_atom_site_label
_atom_site_type_symbol
_atom_site_fract_x
_atom_site_fract_y
_atom_site_fract_z
_atom_site_occupancy
Ba1 Ba 0.194 0.194 0.241 1
Ba2 Ba 0.806 0.806 0.759 1
Bi1 Bi 0.000 0.000 0.500 1
Se1 Se 0.452 0.452 0.198 1
Se2 Se 0.548 0.548 0.802 1
O1 O 0.185 0.185 0.575 1
O2 O 0.815 0.815 0.425 1
```